w.
A geometry-optimized Hg3GeP structure. Source: Alexandria via LeMat-Bulk, functional PBE-GGA.

Cell: 5.128 5.128 5.128 Å, 90.00 90.00 90.00°
Space group Pm-3m (No. 221)
Symmetry-distinct sites (fractional):
Hg1 0.000 0.000 0.500
Ge1 0.500 0.500 0.500
P1 0.000 0.000 0.000

- crystal system = cubic
- total magnetization (μB per formula unit) = 0.62

x.
A geometry-optimized Hg3GeP structure. Source: Alexandria via LeMat-Bulk, functional PBE-GGA.

Cell: 5.283 5.283 5.283 Å, 90.00 90.00 90.00°
Space group Pm-3m (No. 221)
Symmetry-distinct sites (fractional):
Hg1 0.000 0.000 0.500
Ge1 0.000 0.000 0.000
P1 0.500 0.500 0.500

- crystal system = cubic
- total magnetization (μB per formula unit) = 1.98

Which one sits at the bottom of the stability order? x does.

w.
A geometry-optimized HgGe2P2 structure. Source: Alexandria via LeMat-Bulk, functional PBE-GGA.

Cell: 4.097 4.097 14.390 Å, 90.00 90.00 90.00°
Space group I4/mmm (No. 139)
Symmetry-distinct sites (fractional):
Hg1 0.000 0.000 0.000
Ge1 0.000 0.000 0.358
P1 0.000 0.500 0.250

- crystal system = tetragonal
- total magnetization (μB per formula unit) = 0.00

x.
A geometry-optimized HgGe2P2 structure. Source: Alexandria via LeMat-Bulk, functional PBE-GGA.

Cell: 4.373 4.373 13.222 Å, 90.00 90.00 90.00°
Space group I4/mmm (No. 139)
Symmetry-distinct sites (fractional):
Hg1 0.000 0.000 0.000
Ge1 0.000 0.500 0.250
P1 0.000 0.000 0.341

- crystal system = tetragonal
- total magnetization (μB per formula unit) = 0.00

Which one sits at the bottom of the stability order? w does.

w.
A geometry-optimized PaHgGe2 structure. Source: Alexandria via LeMat-Bulk, functional PBE-GGA.

Cell: 4.577 4.577 4.044 Å, 90.00 90.00 90.00°
Space group P4/mmm (No. 123)
Symmetry-distinct sites (fractional):
Pa1 0.000 0.000 0.000
Hg1 0.500 0.500 0.000
Ge1 0.000 0.500 0.500

- crystal system = tetragonal
- total magnetization (μB per formula unit) = 0.00

x.
A geometry-optimized PaHgGe2 structure. Source: Alexandria via LeMat-Bulk, functional PBE-GGA.

Cell: 4.4222 4.4222 23.4529 Å, 90.00 90.00 120.00°
Space group R-3m (No. 166, hexagonal axes)
Symmetry-distinct sites (fractional):
Pa1 0.0000 0.0000 0.0000
Hg1 0.0000 0.0000 0.5000
Ge1 0.0000 0.0000 0.3903

- crystal system = trigonal
- total magnetization (μB per formula unit) = 0.00

Which one sits at the bottom of the stability order? x does.

w.
A geometry-optimized HgGe2Pb2 structure. Source: Alexandria via LeMat-Bulk, functional PBE-GGA.

Cell: 8.803 8.803 3.452 Å, 90.00 90.00 90.00°
Space group P4/mbm (No. 127)
Symmetry-distinct sites (fractional):
Hg1 0.000 0.000 0.000
Ge1 0.145 0.355 0.000
Pb1 0.151 0.651 0.500

- crystal system = tetragonal
- total magnetization (μB per formula unit) = 0.00

x.
A geometry-optimized HgGe2Pb2 structure. Source: Alexandria via LeMat-Bulk, functional PBE-GGA.

Cell: 5.314 5.314 10.111 Å, 90.00 90.00 90.00°
Space group I4/mmm (No. 139)
Symmetry-distinct sites (fractional):
Hg1 0.000 0.000 0.000
Ge1 0.000 0.000 0.378
Pb1 0.000 0.500 0.250

- crystal system = tetragonal
- total magnetization (μB per formula unit) = 0.00

y.
A geometry-optimized HgGe2Pb2 structure. Source: Alexandria via LeMat-Bulk, functional PBE-GGA.

Cell: 8.980 8.980 3.390 Å, 90.00 90.00 90.00°
Space group P4/mbm (No. 127)
Symmetry-distinct sites (fractional):
Hg1 0.000 0.000 0.000
Ge1 0.137 0.363 0.500
Pb1 0.153 0.653 0.000

- crystal system = tetragonal
- total magnetization (μB per formula unit) = 0.00

z.
A geometry-optimized HgGe2Pb2 structure. Source: Alexandria via LeMat-Bulk, functional PBE-GGA.

Cell: 4.015 4.015 16.893 Å, 90.00 90.00 90.00°
Space group I4/mmm (No. 139)
Symmetry-distinct sites (fractional):
Hg1 0.000 0.000 0.000
Ge1 0.000 0.500 0.250
Pb1 0.000 0.000 0.389

- crystal system = tetragonal
- total magnetization (μB per formula unit) = 0.00

Which one sits at the bottom of the stability order? y does.

w.
A geometry-optimized Hg2Ge2Pb structure. Source: Alexandria via LeMat-Bulk, functional PBE-GGA.

Cell: 4.680 4.680 11.648 Å, 90.00 90.00 90.00°
Space group I4/mmm (No. 139)
Symmetry-distinct sites (fractional):
Hg1 0.000 0.500 0.250
Ge1 0.000 0.000 0.106
Pb1 0.000 0.000 0.500

- crystal system = tetragonal
- total magnetization (μB per formula unit) = 0.00

x.
A geometry-optimized Hg2Ge2Pb structure. Source: Alexandria via LeMat-Bulk, functional PBE-GGA.

Cell: 8.638 8.638 3.285 Å, 90.00 90.00 90.00°
Space group P4/mbm (No. 127)
Symmetry-distinct sites (fractional):
Hg1 0.145 0.355 0.000
Ge1 0.152 0.652 0.500
Pb1 0.000 0.000 0.000

- crystal system = tetragonal
- total magnetization (μB per formula unit) = 0.00

Which one sits at the bottom of the stability order? x does.

w.
A geometry-optimized HgGePb3 structure. Source: Alexandria via LeMat-Bulk, functional PBE-GGA.

Cell: 5.624 5.624 5.624 Å, 90.00 90.00 90.00°
Space group Pm-3m (No. 221)
Symmetry-distinct sites (fractional):
Hg1 0.000 0.000 0.000
Ge1 0.500 0.500 0.500
Pb1 0.000 0.500 0.500

- crystal system = cubic
- total magnetization (μB per formula unit) = 0.00

x.
A geometry-optimized HgGePb3 structure. Source: Alexandria via LeMat-Bulk, functional PBE-GGA.

Cell: 5.694 5.694 5.694 Å, 90.00 90.00 90.00°
Space group Pm-3m (No. 221)
Symmetry-distinct sites (fractional):
Hg1 0.000 0.000 0.000
Ge1 0.500 0.500 0.500
Pb1 0.000 0.000 0.500

- crystal system = cubic
- total magnetization (μB per formula unit) = 0.00

Which one sits at the bottom of the stability order? x does.

w.
A geometry-optimized Hg2GePd2 structure. Source: Alexandria via LeMat-Bulk, functional PBE-GGA.

Cell: 6.621 6.621 4.360 Å, 90.00 90.00 90.00°
Space group P4/mbm (No. 127)
Symmetry-distinct sites (fractional):
Hg1 0.157 0.343 0.000
Ge1 0.000 0.000 0.500
Pd1 0.154 0.654 0.500

- crystal system = tetragonal
- total magnetization (μB per formula unit) = 0.00

x.
A geometry-optimized Hg2GePd2 structure. Source: Alexandria via LeMat-Bulk, functional PBE-GGA.

Cell: 8.011 8.011 3.055 Å, 90.00 90.00 90.00°
Space group P4/mbm (No. 127)
Symmetry-distinct sites (fractional):
Hg1 0.161 0.339 0.000
Ge1 0.000 0.000 0.000
Pd1 0.135 0.635 0.500

- crystal system = tetragonal
- total magnetization (μB per formula unit) = 0.00

y.
A geometry-optimized Hg2GePd2 structure. Source: Alexandria via LeMat-Bulk, functional PBE-GGA.

Cell: 4.751 4.751 5.129 Å, 90.00 90.00 90.00°
Space group P4/mmm (No. 123)
Symmetry-distinct sites (fractional):
Hg1 0.000 0.000 0.000
Hg2 0.500 0.500 0.000
Ge1 0.000 0.000 0.500
Pd1 0.000 0.500 0.500

- crystal system = tetragonal
- total magnetization (μB per formula unit) = 0.00

Which one sits at the bottom of the stability order? y does.

w.
A geometry-optimized HgGe2Pd7 structure. Source: Alexandria via LeMat-Bulk, functional PBE-GGA.

Cell: 4.086 4.086 20.058 Å, 90.00 90.00 90.00°
Space group I4/mmm (No. 139)
Symmetry-distinct sites (fractional):
Hg1 0.000 0.000 0.000
Ge1 0.000 0.000 0.327
Pd1 0.000 0.000 0.500
Pd2 0.000 0.500 0.103
Pd3 0.000 0.500 0.250

- crystal system = tetragonal
- total magnetization (μB per formula unit) = 0.00

x.
A geometry-optimized HgGe2Pd7 structure. Source: Alexandria via LeMat-Bulk, functional PBE-GGA.

Cell: 7.343 12.194 4.406 Å, 90.00 90.00 90.00°
Space group Cmmm (No. 65)
Symmetry-distinct sites (fractional):
Hg1 0.000 0.000 0.000
Ge1 0.000 0.302 0.500
Pd1 0.000 0.225 0.000
Pd2 0.000 0.500 0.500
Pd3 0.189 0.123 0.500

- crystal system = orthorhombic
- total magnetization (μB per formula unit) = 0.00

Which one sits at the bottom of the stability order? x does.

w.
A geometry-optimized HgGe2Pd2 structure. Source: Alexandria via LeMat-Bulk, functional PBE-GGA.

Cell: 7.634 7.634 3.089 Å, 90.00 90.00 90.00°
Space group P4/mbm (No. 127)
Symmetry-distinct sites (fractional):
Hg1 0.000 0.000 0.000
Ge1 0.150 0.350 0.500
Pd1 0.140 0.640 0.000

- crystal system = tetragonal
- total magnetization (μB per formula unit) = 0.00

x.
A geometry-optimized HgGe2Pd2 structure. Source: Alexandria via LeMat-Bulk, functional PBE-GGA.

Cell: 3.828 3.828 12.618 Å, 90.00 90.00 90.00°
Space group I4/mmm (No. 139)
Symmetry-distinct sites (fractional):
Hg1 0.000 0.000 0.000
Ge1 0.000 0.500 0.250
Pd1 0.000 0.000 0.388

- crystal system = tetragonal
- total magnetization (μB per formula unit) = 0.00

Which one sits at the bottom of the stability order? x does.

w.
A geometry-optimized HgGe2Pd2 structure. Source: Alexandria via LeMat-Bulk, functional PBE-GGA.

Cell: 4.428 4.428 9.754 Å, 90.00 90.00 90.00°
Space group I4/mmm (No. 139)
Symmetry-distinct sites (fractional):
Hg1 0.000 0.000 0.000
Ge1 0.000 0.000 0.374
Pd1 0.000 0.500 0.250

- crystal system = tetragonal
- total magnetization (μB per formula unit) = 0.00

x.
A geometry-optimized HgGe2Pd2 structure. Source: Alexandria via LeMat-Bulk, functional PBE-GGA.

Cell: 7.782 7.782 2.957 Å, 90.00 90.00 90.00°
Space group P4/mbm (No. 127)
Symmetry-distinct sites (fractional):
Hg1 0.000 0.000 0.000
Ge1 0.151 0.349 0.000
Pd1 0.138 0.638 0.500

- crystal system = tetragonal
- total magnetization (μB per formula unit) = 0.00

Which one sits at the bottom of the stability order? x does.

w.
A geometry-optimized HgGePd4 structure. Source: Alexandria via LeMat-Bulk, functional PBE-GGA.

Cell: 5.580 7.693 5.048 Å, 90.00 113.11 90.00°
Space group P2_1/c (No. 14)
Symmetry-distinct sites (fractional):
Hg1 0.000 0.000 0.000
Ge1 0.500 0.000 0.500
Pd1 0.141 0.153 0.572
Pd2 0.393 0.669 0.373

- crystal system = monoclinic
- total magnetization (μB per formula unit) = 0.00

x.
A geometry-optimized HgGePd4 structure. Source: Alexandria via LeMat-Bulk, functional PBE-GGA.

Cell: 7.315 3.067 17.594 Å, 90.00 90.00 90.00°
Space group Pnma (No. 62)
Symmetry-distinct sites (fractional):
Hg1 0.204 0.250 0.188
Ge1 0.247 0.750 0.453
Pd1 0.022 0.750 0.296
Pd2 0.032 0.750 0.568
Pd3 0.106 0.750 0.055
Pd4 0.170 0.750 0.846

- crystal system = orthorhombic
- total magnetization (μB per formula unit) = 0.00

Which one sits at the bottom of the stability order? w does.